Computed, not measured: crystalline Tb2Ho3TmS6 at its relaxed geometry at the GGA-PBE level of DFT.

Output
DOS at the Fermi energy ... 10.3 states/eV per cell
Crystal system ... monoclinic
Formation energy without anion corrections ... -23.74 eV/f.u.
Total moment ... 0.00 μB per cell

CIF file:
```
data_Tb2Ho3TmS6
_chemical_formula_sum 'Tb4 Ho6 Tm2 S12'
_symmetry_space_group_name_H-M 'C 1 2/m 1'
_symmetry_Int_Tables_number 12
_cell_length_a 16.9393
_cell_length_b 3.8832
_cell_length_c 7.8103
_cell_angle_alpha 90.00
_cell_angle_beta 103.41
_cell_angle_gamma 90.00
loop_
_symmetry_equiv_pos_as_xyz
'x,y,z'
'-x,-y,-z'
'-x,y,-z'
'x,-y,z'
'x+1/2,y+1/2,z'
'-x+1/2,-y+1/2,-z'
'-x+1/2,y+1/2,-z'
'x+1/2,-y+1/2,z'
loop_
_atom_site_label
_atom_site_fract_x
_atom_site_fract_y
_atom_site_fract_z
Tb1 0.1675 0.0000 0.3350
Ho1 0.0000 0.5000 0.5000
Ho2 0.1681 0.0000 0.8326
Tm1 0.0000 0.5000 0.0000
S1 0.0012 0.0000 0.7538
S2 0.1650 0.5000 0.0795
S3 0.1653 0.5000 0.5855
```